1.
An optimized crystal structure of BaRuN, computed with PBE.

The total energy comes out at -6.355 eV/atom.

The space group is P3m1 (No. 156) and the conventional cell measures 3.4197, 3.4197 and 5.5400 Å, with angles of 90.00, 90.00 and 120.00 degrees. The inequivalent atoms are Ba at (0.0000, 0.0000, 0.0000), Ru at (0.6667, 0.3333, 0.4618) and N at (0.3333, 0.6667, 0.3743).

---

2.
An optimized crystal structure of BaRuSN2, computed with PBE.

The total energy comes out at -4.089 eV/atom.

The space group is P4/mmm (No. 123) and the conventional cell measures 4.4923, 4.4923 and 6.1733 Å, with angles of 90.00, 90.00 and 90.00 degrees. The inequivalent atoms are Ba at (0.0000, 0.0000, 0.0000), Ru at (0.5000, 0.5000, 0.5000), S at (0.0000, 0.0000, 0.5000) and N at (0.0000, 0.5000, 0.0000).

---

3.
An optimized crystal structure of BaRuS2N, computed with PBE.

The total energy comes out at -3.779 eV/atom.

The space group is P4/mmm (No. 123) and the conventional cell measures 5.7904, 5.7904 and 5.0631 Å, with angles of 90.00, 90.00 and 90.00 degrees. The inequivalent atoms are Ba at (0.0000, 0.0000, 0.0000), Ru at (0.5000, 0.5000, 0.5000), S at (0.0000, 0.5000, 0.0000) and N at (0.0000, 0.0000, 0.5000).